Entry 1:
A plane-wave DFT calculation with meta-GGA SCAN was carried out for a crystal of KW3 relaxed with PBEsol.

Lattice parameters (Å, degrees): 5.667 9.634 2.609 90.00 90.00 90.00
Space group Cmmm (No. 65)
One atom of each set of equivalent atoms:
K 0.000 0.000 0.000 [2 per cell]
W 0.000 0.500 0.000 [2 per cell]
W 0.250 0.250 0.500 [4 per cell]

ΔE to the lowest computed polymorph in eV per atom: 0.669
Energy relative to the elements in eV/atom: 1.76

Entry 2:
A plane-wave DFT calculation with meta-GGA SCAN was carried out for a crystal of KW4 relaxed with PBEsol.

Lattice parameters (Å, degrees): 6.163 6.163 4.638 90.00 90.00 90.00
Space group I4/m (No. 87)
One atom of each set of equivalent atoms:
K 0.000 0.000 0.000 [2 per cell]
W 0.067 0.305 0.500 [8 per cell]

Energy relative to the elements in eV/atom: 1.52

Entry 3:
A plane-wave DFT calculation with meta-GGA SCAN was carried out for a crystal of KY2W relaxed with PBEsol.

Lattice parameters (Å, degrees): 3.4952 3.4952 34.5779 90.00 90.00 120.00
Space group R-3m (No. 166, hexagonal axes)
One atom of each set of equivalent atoms:
K 0.0000 0.0000 0.0000 [3 per cell]
Y 0.0000 0.0000 0.2262 [6 per cell]
W 0.0000 0.0000 0.5000 [3 per cell]

ΔE to the lowest computed polymorph in eV per atom: 0.000
Energy relative to the elements in eV/atom: 0.74

Entry 4:
A plane-wave DFT calculation with meta-GGA SCAN was carried out for a crystal of KYW2 relaxed with PBEsol.

Lattice parameters (Å, degrees): 3.267 3.267 9.857 90.00 90.06 90.00
Space group Pm (No. 6)
One atom of each set of equivalent atoms:
K 0.000 0.000 0.000 [1 per cell]
Y 0.504 0.500 0.617 [1 per cell]
W 0.003 0.000 0.418 [1 per cell]
W 0.503 0.500 0.295 [1 per cell]

ΔE to the lowest computed polymorph in eV per atom: 0.000
Energy relative to the elements in eV/atom: 0.70